This record from Alexandria via LeMat-Bulk describes a relaxed structure of Gd2SiSe. The functional is PBE.

Cell: 4.1476 4.1476 7.2769 Å, 73.44 73.44 60.00°
Fractional positions:
Si1 0.0000 0.0000 0.0000
Gd1 0.7459 0.7459 0.7624
Gd2 0.2541 0.2541 0.2376
Se1 0.5000 0.5000 0.5000

E in eV/atom: -10.5734
Crystal system: trigonal
ΔE_f (raw) in kJ/mol of formula units: -504

This record from Alexandria via LeMat-Bulk describes a relaxed structure of GdTaSe2. The functional is PBE.

Cell: 3.4864 3.4864 9.4697 Å, 79.39 79.39 60.00°
Fractional positions:
Gd1 0.0000 0.0000 0.0000
Se1 0.1055 0.1055 0.6834
Se2 0.8945 0.8945 0.3166
Ta1 0.5000 0.5000 0.5000

E in eV/atom: -8.8199
Crystal system: trigonal
ΔE_f (raw) in kJ/mol of formula units: -229

This record from Alexandria via LeMat-Bulk describes a relaxed structure of Tb2GdSe. The functional is PBE.

Cell: 3.6188 3.6188 8.4972 Å, 90.00 90.00 90.00°
Fractional positions:
Gd1 0.5000 0.5000 0.5000
Tb1 0.0000 0.0000 0.7929
Tb2 0.0000 0.0000 0.2071
Se1 0.5000 0.5000 0.0000

E in eV/atom: -7.3917
Crystal system: tetragonal
ΔE_f (raw) in kJ/mol of formula units: -264

This record from Alexandria via LeMat-Bulk describes a relaxed structure of TbGdSe. The functional is PBE.

Cell: 3.6146 3.6146 6.7192 Å, 105.60 105.60 90.00°
Fractional positions:
Gd1 0.9765 0.9765 0.9529
Tb1 0.6917 0.6917 0.3834
Se1 0.3319 0.3319 0.6637

Offset from the most stable computed form in meV/atom: 164
E in eV/atom: -8.3733
Crystal system: tetragonal
ΔE_f (raw) in kJ/mol of formula units: -282

This record from Alexandria via LeMat-Bulk describes a relaxed structure of TbGdSe. The functional is PBE.

Cell: 3.8869 3.8869 6.5778 Å, 90.00 90.00 120.00°
Fractional positions:
Gd1 0.0000 0.0000 0.0516
Tb1 0.3333 0.6667 0.6140
Se1 0.6667 0.3333 0.3344

Offset from the most stable computed form in meV/atom: 0
E in eV/atom: -8.5368
Crystal system: trigonal
ΔE_f (raw) in kJ/mol of formula units: -329

This record from Alexandria via LeMat-Bulk describes a relaxed structure of GdTeSe. The functional is PBE.

Cell: 3.8661 3.8661 5.9993 Å, 108.80 108.80 90.00°
Fractional positions:
Gd1 0.6871 0.6871 0.3743
Te1 0.0129 0.0129 0.0258
Se1 0.3000 0.3000 0.5999

E in eV/atom: -8.1065
Crystal system: tetragonal
ΔE_f (raw) in kJ/mol of formula units: -349

This record from Alexandria via LeMat-Bulk describes a relaxed structure of GdThSe2. The functional is PBE.

Cell: 5.1124 5.1124 5.1124 Å, 60.00 60.00 60.00°
Fractional positions:
Gd1 0.5000 0.5000 0.5000
Se1 0.2500 0.2500 0.2500
Se2 0.7500 0.7500 0.7500
Th1 0.0000 0.0000 0.0000

Offset from the most stable computed form in meV/atom: 235
E in eV/atom: -8.5753
Crystal system: cubic
ΔE_f (raw) in kJ/mol of formula units: -563

This record from Alexandria via LeMat-Bulk describes a relaxed structure of GdThSe2. The functional is PBE.

Cell: 4.0854 4.0854 7.4480 Å, 74.08 74.08 60.00°
Fractional positions:
Gd1 0.0000 0.0000 0.0000
Se1 0.7461 0.7461 0.7616
Se2 0.2539 0.2539 0.2384
Th1 0.5000 0.5000 0.5000

Offset from the most stable computed form in meV/atom: 0
E in eV/atom: -8.8101
Crystal system: trigonal
ΔE_f (raw) in kJ/mol of formula units: -653

This record from Alexandria via LeMat-Bulk describes a relaxed structure of GdThSe. The functional is PBE.

Cell: 3.9069 3.9069 6.7906 Å, 90.00 90.00 120.00°
Fractional positions:
Gd1 0.0000 0.0000 0.9465
Se1 0.3333 0.6667 0.6738
Th1 0.6667 0.3333 0.3797

E in eV/atom: -9.2918
Crystal system: trigonal
ΔE_f (raw) in kJ/mol of formula units: -279

This record from Alexandria via LeMat-Bulk describes a relaxed structure of GdTiSe2. The functional is PBE.

Cell: 3.6611 3.6611 8.9976 Å, 78.26 78.26 60.00°
Fractional positions:
Gd1 0.0000 0.0000 0.0000
Se1 0.1087 0.1087 0.6738
Se2 0.8913 0.8913 0.3262
Ti1 0.5000 0.5000 0.5000

E in eV/atom: -8.1731
Crystal system: trigonal
ΔE_f (raw) in kJ/mol of formula units: -362

This record from Alexandria via LeMat-Bulk describes a relaxed structure of Gd2TlSe. The functional is PBE.

Cell: 3.5343 3.5343 8.1695 Å, 90.00 90.00 90.00°
Fractional positions:
Tl1 0.5000 0.5000 0.5000
Gd1 0.0000 0.0000 0.7756
Gd2 0.0000 0.0000 0.2244
Se1 0.5000 0.5000 0.0000

Offset from the most stable computed form in meV/atom: 110
E in eV/atom: -9.4629
Crystal system: tetragonal
ΔE_f (raw) in kJ/mol of formula units: -370

This record from Alexandria via LeMat-Bulk describes a relaxed structure of GdTl2Se. The functional is PBE.

Cell: 3.8381 3.8381 10.5265 Å, 79.50 79.50 60.00°
Fractional positions:
Tl1 0.1033 0.1033 0.6900
Tl2 0.8967 0.8967 0.3100
Gd1 0.0000 0.0000 0.0000
Se1 0.5000 0.5000 0.5000

E in eV/atom: -5.6360
Crystal system: trigonal
ΔE_f (raw) in kJ/mol of formula units: -24

This record from Alexandria via LeMat-Bulk describes a relaxed structure of Gd2TlSe. The functional is PBE.

Cell: 3.9990 3.9990 8.3538 Å, 76.15 76.15 60.00°
Fractional positions:
Tl1 0.5000 0.5000 0.5000
Gd1 0.2610 0.2610 0.2169
Gd2 0.7390 0.7390 0.7831
Se1 0.0000 0.0000 0.0000

Offset from the most stable computed form in meV/atom: 0
E in eV/atom: -9.5730
Crystal system: trigonal
ΔE_f (raw) in kJ/mol of formula units: -413